The following is a DFT calculation (PBE-GGA) of MgNbBr2 after structural relaxation.

Energy relative to the elements, uncorrected = -0.319 eV/atom
Total magnetic moment = 0.000 μB per formula unit
Density = 4.7 g/cm³
Total DFT energy (no corrections) = -4.07 eV/atom
Polymorph energy (0 for the lowest one) = 0.000 eV/atom
SG = No. 166

Cell and atoms, written as extended XYZ:
```
4
Lattice="-8.4548 -5.9799 1.2242 -7.3818 -5.9197 4.3828 -9.2986 -3.4466 3.2247" Properties=species:S:1:pos:R:3 pbc="T T T"
Nb -12.5676 -7.6730 4.4158
Br -22.4929 -13.7329 7.9033
Mg 0.0000 0.0000 0.0000
Br -2.6423 -1.6132 0.9284
```